VASP calculation (PBE+U) on crystalline MnRhO4 at its relaxed geometry.

Lattice parameters (Å, degrees): 5.511 4.468 5.531 90.00 113.26 90.00
Atoms (fractional coordinates):
Mn 0.000 0.000 0.000
Mn 0.000 0.500 0.500
Rh 0.500 0.000 0.500
Rh 0.500 0.500 0.000
O 0.157 0.219 0.329
O 0.157 0.281 0.829
O 0.334 0.708 0.653
O 0.334 0.792 0.153
O 0.666 0.208 0.847
O 0.666 0.292 0.347
O 0.843 0.719 0.171
O 0.843 0.781 0.671

Values from the calculation:
N(E_F) in states/eV per atom: 0.444
Total magnetic moment in μB per cell: 4.15
Final energy in hartree per atom: -0.2493